Entry 1:
The following is a DFT calculation (PBE) of Si2MoSe6 after structural relaxation.

Unit cell a=6.4707 b=8.3568 c=8.3568 alpha=83.92 beta=81.49 gamma=81.49
With the nearest neighbours (Å) after each atom.
Fractional positions:
Si 0.1592 0.6241 0.7818  4 Se 2.31-2.38
Si 0.3408 0.2182 0.3759  4 Se 2.31-2.38
Si 0.8408 0.3759 0.2182  4 Se 2.31-2.38
Si 0.6592 0.7818 0.6241  4 Se 2.31-2.38
Mo 0.2500 0.1270 0.8730  4 Se 2.39-2.54
Mo 0.7500 0.8730 0.1270  4 Se 2.39-2.54
Se 0.3587 0.7133 0.5445  2 Si 2.31-2.32
Se 0.1413 0.4555 0.2867  2 Si 2.31-2.32
Se 0.6413 0.2867 0.4555  2 Si 2.31-2.32
Se 0.8587 0.5445 0.7133  2 Si 2.31-2.32
Se 0.8640 0.8822 0.3846  1 Si 2.38, 1 Mo 2.39
Se 0.6360 0.6154 0.1178  1 Si 2.38, 1 Mo 2.39
Se 0.1360 0.1178 0.6154  1 Si 2.38, 1 Mo 2.39
Se 0.3640 0.3846 0.8822  1 Si 2.38, 1 Mo 2.39
Se 0.1206 0.8166 0.9751  1 Si 2.36, 1 Mo 2.54
Se 0.3794 0.0249 0.1834  1 Si 2.36, 1 Mo 2.54
Se 0.8794 0.1834 0.0249  1 Si 2.36, 1 Mo 2.54
Se 0.6206 0.9751 0.8166  1 Si 2.36, 1 Mo 2.54

Properties
DOS(E_F): 4.8 states/eV per cell
total magnetic moment: 0.0 μB per cell
uncorrected formation energy: -24.50 kJ per mole of atoms
raw total energy: -89.7 eV per cell
crystal system: monoclinic

***

Entry 2:
The following is a DFT calculation (PBE) of SiMo2Se after structural relaxation.

Unit cell a=3.1304 b=5.0481 c=4.0109 alpha=90.00 beta=90.00 gamma=90.00
With the nearest neighbours (Å) after each atom.
Fractional positions:
Mo 0.0000 0.0000 0.0000  4 Se 2.54
Mo 0.5000 0.5000 0.0000  4 Si 2.54
Se 0.5000 0.0000 0.5000  4 Mo 2.54
Si 0.0000 0.5000 0.5000  4 Mo 2.54

Properties
DOS(E_F): 3.2 states/eV per cell
total magnetic moment: 0.0 μB per cell
uncorrected formation energy: 30.65 kJ per mole of atoms
raw total energy: -29.3 eV per cell
crystal system: orthorhombic

***

Entry 3:
The following is a DFT calculation (PBE) of SiMo2Se after structural relaxation.

Unit cell a=4.3506 b=4.3506 c=5.1924 alpha=78.37 beta=78.37 gamma=40.51
With the nearest neighbours (Å) after each atom.
Fractional positions:
Mo 0.9891 0.9891 0.0087  3 Si 2.57-2.69, 3 Se 2.60-2.72
Mo 0.5109 0.5109 0.4913  3 Si 2.57-2.69, 3 Se 2.60-2.72
Se 0.7500 0.7500 0.7500  6 Mo 2.60-2.72
Si 0.2500 0.2500 0.2500  6 Mo 2.57-2.69

Properties
DOS(E_F): 4.2 states/eV per cell
total magnetic moment: 0.0 μB per cell
uncorrected formation energy: 14.66 kJ per mole of atoms
raw total energy: -30.0 eV per cell
crystal system: monoclinic